(a)
Material: YMg2Tc
Method: DFT, SCAN
State: single point on PBEsol structure

Geometry as extended XYZ:
```
4
Lattice="3.762 0.000 0.000 0.000 4.357 0.000 0.000 0.000 4.882" Properties=species:S:1:pos:R:3 pbc="T T T"
Y 0.000 0.000 0.000
Mg 0.000 2.179 2.441
Mg 1.881 0.000 2.441
Tc 1.881 2.179 0.000
```

## Properties
- calculated density (Mg/m³) = 4.89
- D(E_F) (states/eV/atom) = 0.7819
- crystal system = orthorhombic



(b)
Material: YMg2Tc
Method: DFT, SCAN
State: single point on PBEsol structure

Geometry as extended XYZ:
```
4
Lattice="2.782 -5.163 0.000 2.782 5.163 0.000 -1.131 0.000 2.783" Properties=species:S:1:pos:R:3 pbc="T T T"
Y 0.000 0.000 0.000
Mg 0.826 2.582 1.391
Mg 0.826 -2.582 1.391
Tc 2.782 0.000 0.000
```

## Properties
- calculated density (Mg/m³) = 4.89
- D(E_F) (states/eV/atom) = 0.6589
- crystal system = monoclinic



Stability, lowest: (b)



(a)
Material: YMg2Tc
Method: DFT, SCAN
State: single point on PBEsol structure

Geometry as extended XYZ:
```
4
Lattice="3.065 0.000 0.000 0.000 4.485 0.000 -1.531 0.000 5.976" Properties=species:S:1:pos:R:3 pbc="T T T"
Y 0.000 0.000 0.000
Mg -0.051 0.000 3.240
Mg 1.509 2.243 2.054
Tc 0.033 2.243 4.804
```

## Properties
- calculated density (Mg/m³) = 4.76
- D(E_F) (states/eV/atom) = 0.8414
- crystal system = monoclinic



(b)
Material: YMg2Tc
Method: DFT, SCAN
State: single point on PBEsol structure

Geometry as extended XYZ:
```
4
Lattice="-1.726 2.328 5.051 1.726 -2.328 5.051 1.726 2.328 -5.051" Properties=species:S:1:pos:R:3 pbc="T T T"
Y 0.000 0.000 0.000
Mg 1.726 0.000 2.832
Mg 0.000 2.328 2.220
Tc 0.000 0.000 5.051
```

## Properties
- calculated density (Mg/m³) = 4.82
- D(E_F) (states/eV/atom) = 0.5555
- crystal system = orthorhombic



Stability, lowest: (a)



(a)
Material: MgZn2Tc
Method: DFT, SCAN
State: single point on PBEsol structure

Geometry as extended XYZ:
```
4
Lattice="0.000 3.074 3.074 3.074 0.000 3.074 3.074 3.074 0.000" Properties=species:S:1:pos:R:3 pbc="T T T"
Mg 0.000 0.000 0.000
Zn 1.537 1.537 1.537
Zn 4.612 4.612 4.612
Tc 3.074 3.074 3.074
```

## Properties
- calculated density (Mg/m³) = 7.23
- D(E_F) (states/eV/atom) = 0.8962
- crystal system = cubic



(b)
Material: MgZn2Tc
Method: DFT, SCAN
State: single point on PBEsol structure

Geometry as extended XYZ:
```
4
Lattice="4.046 0.000 0.000 0.000 4.046 0.000 0.000 0.000 3.513" Properties=species:S:1:pos:R:3 pbc="T T T"
Mg 0.000 0.000 0.000
Zn 0.000 2.023 1.756
Zn 2.023 0.000 1.756
Tc 2.023 2.023 0.000
```

## Properties
- calculated density (Mg/m³) = 7.31
- D(E_F) (states/eV/atom) = 0.3338
- crystal system = tetragonal



Stability, lowest: (a)



(a)
Material: Mg2ZrTc
Method: DFT, SCAN
State: single point on PBEsol structure

Geometry as extended XYZ:
```
4
Lattice="2.796 0.000 0.000 0.000 4.594 0.000 0.000 0.000 5.598" Properties=species:S:1:pos:R:3 pbc="T T T"
Mg 0.000 0.000 1.307
Mg 0.000 0.000 4.291
Zr 1.398 2.297 2.799
Tc 1.398 2.297 0.000
```

## Properties
- calculated density (Mg/m³) = 5.49
- D(E_F) (states/eV/atom) = 0.6286
- crystal system = orthorhombic



(b)
Material: Mg2ZrTc
Method: DFT, SCAN
State: single point on PBEsol structure

Geometry as extended XYZ:
```
4
Lattice="2.852 0.000 0.000 0.000 4.813 0.000 -1.308 0.000 5.272" Properties=species:S:1:pos:R:3 pbc="T T T"
Mg -0.102 0.000 1.415
Mg 1.645 0.000 3.857
Zr 1.426 2.406 0.000
Tc 0.772 2.406 2.636
```

## Properties
- calculated density (Mg/m³) = 5.46
- D(E_F) (states/eV/atom) = 0.6010
- crystal system = monoclinic



Stability, lowest: (a)